Material: GaCoSn3
Method: DFT, PBE
State: relaxed

Results
Energy relative to the elements = 142 meV per atom
Raw total energy = -4.286 eV per atom
Energy above the most stable polymorph in this dataset = 0.000 eV/atom
Magnetization = 0.00 μB/atom

Structure (POSCAR):
```
GaCoSn3
1.0
-0.542 -2.610 4.171
4.388 -2.155 -0.778
2.226 3.612 2.549
Co Sn Ga
1 3 1
Direct
0.000 0.000 0.000 Co
0.000 0.500 0.000 Sn
0.000 0.000 0.500 Sn
0.500 0.000 0.000 Sn
0.500 0.500 0.500 Ga
```

---

Material: Th2MgPa
Method: DFT, PBE
State: relaxed

Results
Energy relative to the elements = 195 meV per atom
Raw total energy = -6.287 eV per atom
Energy above the most stable polymorph in this dataset = 0.071 eV/atom
Magnetization = 0.00 μB/atom

Structure (POSCAR):
```
Th2MgPa
1.0
4.624 0.000 0.000
0.000 4.957 0.000
0.000 0.000 4.957
Mg Pa Th
1 1 2
Direct
0.500 0.000 0.000 Mg
0.500 0.500 0.500 Pa
0.000 0.000 0.500 Th
0.000 0.500 0.000 Th
```

---

Material: InHgW2
Method: DFT, PBE
State: relaxed

Results
Energy relative to the elements = 812 meV per atom
Raw total energy = -6.424 eV per atom
Energy above the most stable polymorph in this dataset = 0.318 eV/atom
Magnetization = 0.00 μB/atom

Structure (POSCAR):
```
InHgW2
1.0
5.049 0.014 0.000
1.487 4.825 0.000
-3.268 -2.419 2.993
Hg In W
1 1 2
Direct
0.500 0.500 0.000 Hg
0.750 0.250 0.500 In
0.000 0.000 0.000 W
0.250 0.750 0.500 W
```

---

Material: RbPb3
Method: DFT, PBE
State: relaxed

Results
Energy relative to the elements = -101 meV per atom
Raw total energy = -3.124 eV per atom
Magnetization = 0.00 μB/atom

Structure (POSCAR):
```
RbPb3
1.0
-1.050 0.509 4.655
-1.236 -4.632 0.228
6.565 -1.671 1.664
Pb Rb
3 1
Direct
0.000 0.000 0.878 Pb
0.500 0.000 0.571 Pb
0.500 0.500 0.878 Pb
0.000 0.500 0.341 Rb
```

---

Material: TbMgGa
Method: DFT, PBE
State: relaxed

Results
Energy relative to the elements = -370 meV per atom
Raw total energy = -3.454 eV per atom
Magnetization = 0.00 μB/atom

Structure (POSCAR):
```
TbMgGa
1.0
-1.430 3.161 -2.568
-0.624 -2.526 -2.761
-7.836 -0.005 4.357
Tb Mg Ga
2 2 2
Direct
0.347 0.400 0.222 Tb
0.847 0.590 0.602 Tb
0.848 0.785 0.993 Mg
0.347 0.204 0.830 Mg
0.347 0.041 0.501 Ga
0.847 0.950 0.323 Ga
```

---

Material: NbGaIr3
Method: DFT, PBE
State: relaxed

Results
Energy relative to the elements = 1468 meV per atom
Raw total energy = -6.468 eV per atom
Energy above the most stable polymorph in this dataset = 0.474 eV/atom
Magnetization = 0.00 μB/atom

Structure (POSCAR):
```
NbGaIr3
1.0
-3.680 2.551 1.753
-2.332 -0.495 -4.175
-2.035 -4.046 1.616
Nb Ir Ga
1 3 1
Direct
0.000 0.000 0.000 Nb
0.000 0.500 0.000 Ir
0.000 0.000 0.500 Ir
0.500 0.000 0.000 Ir
0.500 0.500 0.500 Ga
```

---

Material: Tm5AgSb2
Method: DFT, PBE
State: relaxed

Results
Formation energy (no corrections) = -2.6 eV per formula unit
Raw total energy = -4.512 eV per atom
Magnetization = 0.00 μB/atom

Structure (POSCAR):
```
Tm5AgSb2
1.0
5.587 0.000 0.000
-2.793 5.845 0.000
0.000 0.000 14.054
Tm Ag Sb
10 2 4
Direct
0.933 0.865 0.898 Tm
0.933 0.865 0.602 Tm
0.381 0.763 0.444 Tm
0.381 0.763 0.056 Tm
0.610 0.221 0.250 Tm
0.390 0.779 0.750 Tm
0.619 0.237 0.556 Tm
0.619 0.237 0.944 Tm
0.067 0.135 0.102 Tm
0.067 0.135 0.398 Tm
0.738 0.476 0.750 Ag
0.262 0.524 0.250 Ag
0.799 0.597 0.396 Sb
0.799 0.597 0.104 Sb
0.201 0.403 0.604 Sb
0.201 0.403 0.896 Sb
```

---

Material: Sr2AlAs
Method: DFT, PBE
State: relaxed

Results
Energy relative to the elements = -211 meV per atom
Raw total energy = -3.150 eV per atom
Energy above the most stable polymorph in this dataset = 0.443 eV/atom
Magnetization = 0.14 μB/atom

Structure (POSCAR):
```
Sr2AlAs
1.0
-1.754 1.339 4.051
-4.221 0.097 -1.859
-0.878 -6.205 1.670
Sr As Al
2 1 1
Direct
0.000 0.000 0.876 Sr
0.500 0.500 0.373 Sr
0.500 0.500 0.873 As
0.000 0.000 0.377 Al
```